Below is a relaxed Ba8CuP3I4 crystal, with properties calculated at the PBE level.

Values from the calculation:
Final energy, eV/cell: -61.19

Cell: 10.0588 10.0588 10.0588 Å, 56.60 56.60 56.60°
Fractional positions:
Ba1 0.2269 0.7382 0.7382
Ba2 0.2334 0.2334 0.2334
Ba3 0.2618 0.2618 0.7731
Ba4 0.2618 0.7731 0.2618
Ba5 0.7382 0.2269 0.7382
Ba6 0.7382 0.7382 0.2269
Ba7 0.7666 0.7666 0.7666
Ba8 0.7731 0.2618 0.2618
Cu1 0.5000 0.5000 0.5000
P1 0.0000 0.0000 0.5000
P2 0.0000 0.5000 0.0000
P3 0.5000 0.0000 0.0000
I1 0.0000 0.0000 0.0000
I2 0.0000 0.5000 0.5000
I3 0.5000 0.0000 0.5000
I4 0.5000 0.5000 0.0000